! CdHgPO | the Open Quantum Materials Database | GGA-PBE | relaxed; values from VASP
! - calculated volume (Å³ per cell) = 165.1
! - total energy (eV per cell) = -24.0
&SYSTEM
  ibrav = 0, nat = 8, ntyp = 4
/
ATOMIC_SPECIES
Cd 112.41 Cd.upf
Hg 200.59 Hg.upf
P 30.97 P.upf
O 16.00 O.upf
CELL_PARAMETERS angstrom
3.4834 0.0000 0.0000
0.0000 7.1561 0.0000
0.0000 0.0000 6.6232
ATOMIC_POSITIONS crystal
Cd 0.0000 0.2128 0.0000
Cd 0.0000 0.7872 0.5000
Hg 0.5000 0.3302 0.5523
Hg 0.5000 0.6698 0.0523
P 0.0000 0.1305 0.3771
P 0.0000 0.8695 0.8771
O 0.5000 0.3754 0.8928
O 0.5000 0.6246 0.3928